Computed, not measured: a relaxed Ba2SrLa crystal at the PBE level of DFT.

a b c (Å): 4.626 6.659 13.496
angles (deg): 90.00 90.00 90.00
Space group Cmm2 (No. 35)
One atom of each set of equivalent atoms:
Ba1 0.000 0.000 0.000 [2 per cell]
Ba2 0.000 0.500 0.269 [2 per cell]
Sr1 0.000 0.000 0.530 [2 per cell]
La1 0.000 0.500 0.762 [2 per cell]

## Properties
The volume is 51.967 A^3/atom. The value obtained for the formation energy is 0.128 eV/atom. The value obtained for the density of states at the Fermi level is 1.274 states/eV per atom. The excess energy over the best structure of this formula in the dataset comes out at 12 meV/atom.